No. 1
First-principles (PBE-GGA) data for a relaxed structure of Ho8Ir2Au, as listed in Alexandria.

Cell and atoms, written as extended XYZ:
```
11
Lattice="-5.107 2.424 -0.075 0.782 -1.310 -7.520 -1.776 -6.346 3.931" Properties=species:S:1:pos:R:3 pbc="T T T"
Ir -3.492 -3.626 0.334
Ir -2.519 -1.710 -4.023
Ho -1.301 -2.416 -1.353
Ho -6.251 -2.786 1.165
Ho -3.507 -0.838 0.709
Ho -3.161 -5.831 -1.412
Ho -2.494 -4.517 -4.402
Ho -4.890 -0.108 -4.926
Ho -4.710 -2.871 -2.315
Ho -2.839 0.478 -2.284
Au -0.484 0.228 -0.008
```

Values from the calculation:
symmetry	Cm (8)

No. 2
First-principles (PBE-GGA) data for a relaxed structure of Ho3IrAu2, as listed in Alexandria.

Cell and atoms, written as extended XYZ:
```
6
Lattice="3.530 0.000 0.000 0.000 3.530 0.000 0.000 0.000 10.576" Properties=species:S:1:pos:R:3 pbc="T T T"
Au 1.765 1.765 1.799
Au 1.765 1.765 8.777
Ho 0.000 0.000 3.664
Ho 0.000 0.000 6.912
Ho 0.000 0.000 0.000
Ir 1.765 1.765 5.288
```

Values from the calculation:
symmetry	P4/mmm (123)
relative energy among the computed polymorphs	0.00	eV per formula unit

No. 3
First-principles (PBE-GGA) data for a relaxed structure of Ho12IrAu6, as listed in Alexandria.

Cell and atoms, written as extended XYZ:
```
19
Lattice="-0.086 -0.281 -8.311 3.176 -7.544 1.470 -8.015 -1.730 1.389" Properties=species:S:1:pos:R:3 pbc="T T T"
Au -0.489 -5.258 0.238
Au -4.436 -4.297 -5.691
Au -4.782 -6.843 -0.918
Au -4.590 -2.161 -1.485
Au -0.143 -2.712 -4.535
Au -0.335 -7.394 -3.968
Ho -1.623 -5.281 -5.369
Ho -2.893 -2.277 -3.953
Ho 0.492 -7.812 1.283
Ho -7.503 -2.268 -1.211
Ho -3.302 -4.274 -0.084
Ho 0.341 -4.805 -2.444
Ho 2.579 -7.287 -4.241
Ho -2.032 -7.278 -1.500
Ho -5.303 -6.765 1.963
Ho 0.378 -2.790 -7.415
Ho -5.417 -1.743 -6.735
Ho -5.266 -4.750 -3.009
Ir 0.000 0.000 0.000
```

Values from the calculation:
symmetry	R-3 (148)

Per-record density of states at the Fermi level, states/eV per cell: 11.84, 4.17, 19.21
Per-record E, eV per atom: -5.7165, -5.7270, -4.9314
Per-record ΔH_f (0 K), meV per atom: -478, -869, -539